The following is a PBE calculation of a relaxed structure of KCrCo2Os, from Alexandria.

abc: 4.2387 4.2387 4.4239
angles: 90.00 90.00 90.00
Space group P4/mmm (No. 123)
Inequivalent atoms, fractional coordinates:
K 0.0000 0.0000 0.0000 [1 per cell]
Cr 0.0000 0.0000 0.5000 [1 per cell]
Co 0.0000 0.5000 0.0000 [2 per cell]
Os 0.5000 0.5000 0.5000 [1 per cell]

ΔE_f in eV per atom: 2.772